# 1
K2YSbO7: optimized geometry, PBE.

a = 8.176 Å, b = 8.176 Å, c = 8.176 Å
α = 121.13°, β = 118.39°, γ = 90.43°
Site moments in Bohr magnetons follow the coordinates.
Sites, in units of the cell vectors:
K: 0.000 0.000 0.000  0.00
K: 0.500 0.500 0.000  0.00
K: 0.500 0.500 0.500  0.00
K: 0.500 0.000 0.000  0.00
Y: 0.000 0.500 0.000  -0.02
Y: 0.000 0.000 0.500  -0.02
Sb: 0.500 0.000 0.500  -0.05
Sb: 0.000 0.500 0.500  -0.05
O: 0.385 0.088 0.297  0.55
O: 0.710 0.412 0.297  0.55
O: 0.682 0.933 0.395  0.43
O: 0.962 0.567 0.748  0.43
O: 0.962 0.214 0.395  0.43
O: 0.682 0.286 0.748  0.43
O: 0.318 0.714 0.252  0.43
O: 0.038 0.786 0.605  0.43
O: 0.038 0.433 0.252  0.43
O: 0.318 0.067 0.605  0.43
O: 0.883 0.750 0.133  0.53
O: 0.615 0.912 0.703  0.55
O: 0.290 0.588 0.703  0.55
O: 0.117 0.250 0.867  0.53

Its total energy is -5.73 eV/atom. As for the space group: Imma. For the uncorrected formation energy, the calculation gives -1413 meV/atom.

***

# 2
K2YSb2O6: optimized geometry, PBE.

a = 6.296 Å, b = 5.902 Å, c = 7.312 Å
α = 111.12°, β = 90.00°, γ = 122.24°
Site moments in Bohr magnetons follow the coordinates.
Sites, in units of the cell vectors:
K: 0.699 0.397 0.142  0.00
K: 0.301 0.603 0.858  0.00
Y: 0.500 0.000 0.500  0.01
Sb: 0.929 0.858 0.762  0.12
Sb: 0.071 0.142 0.238  0.12
O: 0.738 0.476 0.533  0.14
O: 0.200 0.911 0.254  0.05
O: 0.289 0.089 0.746  0.05
O: 0.800 0.089 0.746  0.05
O: 0.711 0.911 0.254  0.05
O: 0.262 0.524 0.467  0.14

Its total energy is -6.09 eV/atom. As for the space group: C2/m. For the uncorrected formation energy, the calculation gives -1849 meV/atom.

***

# 3
K2Y2SbO6: optimized geometry, PBE.

a = 5.932 Å, b = 5.932 Å, c = 6.662 Å
α = 98.05°, β = 98.05°, γ = 119.80°
Site moments in Bohr magnetons follow the coordinates.
Sites, in units of the cell vectors:
K: 0.836 0.164 0.000  0.00
K: 0.164 0.836 0.000  0.00
Y: 0.335 0.665 0.500  0.01
Y: 0.665 0.335 0.500  0.01
Sb: 0.000 0.000 0.500  0.11
O: 0.743 0.743 0.675  0.04
O: 0.049 0.374 0.674  0.04
O: 0.257 0.257 0.325  0.04
O: 0.374 0.049 0.674  0.04
O: 0.951 0.626 0.326  0.04
O: 0.626 0.951 0.326  0.04

Its total energy is -6.78 eV/atom. As for the space group: C2/m. For the uncorrected formation energy, the calculation gives -2330 meV/atom.

***

# 4
K2YbSbO7: optimized geometry, PBE.

a = 8.095 Å, b = 8.095 Å, c = 8.095 Å
α = 120.31°, β = 118.48°, γ = 91.06°
Site moments in Bohr magnetons follow the coordinates.
Sites, in units of the cell vectors:
K: 0.500 0.500 0.000  0.00
K: 0.000 0.000 0.000  0.00
K: 0.000 0.000 0.500  0.00
K: 0.000 0.500 0.000  0.00
Yb: 0.500 0.000 0.000  0.72
Yb: 0.500 0.500 0.500  0.72
Sb: 0.000 0.500 0.500  -0.05
Sb: 0.500 0.000 0.500  -0.05
O: 0.887 0.590 0.297  0.52
O: 0.207 0.910 0.297  0.52
O: 0.180 0.429 0.390  0.47
O: 0.460 0.071 0.751  0.47
O: 0.460 0.709 0.390  0.47
O: 0.180 0.791 0.751  0.47
O: 0.820 0.209 0.249  0.47
O: 0.540 0.291 0.610  0.47
O: 0.540 0.929 0.249  0.47
O: 0.820 0.571 0.610  0.47
O: 0.395 0.250 0.145  0.66
O: 0.113 0.410 0.703  0.52
O: 0.793 0.090 0.703  0.52
O: 0.605 0.750 0.855  0.66

Its total energy is -5.14 eV/atom. As for the space group: Imma. For the uncorrected formation energy, the calculation gives -1272 meV/atom.

***

# 5
K3Zn2SbO6: optimized geometry, PBE.

a = 5.600 Å, b = 5.600 Å, c = 6.354 Å
α = 98.16°, β = 98.16°, γ = 120.40°
Sites, in units of the cell vectors:
K: 0.175 0.825 0.500
K: 0.825 0.175 0.500
K: 0.500 0.500 0.500
Zn: 0.334 0.666 0.000
Zn: 0.666 0.334 0.000
Sb: 0.000 0.000 0.000
O: 0.938 0.628 0.822
O: 0.752 0.752 0.185
O: 0.062 0.372 0.178
O: 0.628 0.938 0.822
O: 0.248 0.248 0.815
O: 0.372 0.062 0.178

Its total energy is -4.78 eV/atom. As for the space group: C2/m. For the uncorrected formation energy, the calculation gives -1475 meV/atom.

***

# 6
KZn4Sb3O12: optimized geometry, PBE.

a = 6.999 Å, b = 6.999 Å, c = 6.999 Å
α = 108.35°, β = 108.35°, γ = 108.35°
Sites, in units of the cell vectors:
K: 0.000 0.000 0.000
Zn: 0.936 0.064 0.500
Zn: 0.064 0.500 0.936
Zn: 0.500 0.936 0.064
Zn: 0.500 0.500 0.500
Sb: 0.559 0.441 0.000
Sb: 0.441 0.000 0.559
Sb: 0.000 0.559 0.441
O: 0.500 0.332 0.668
O: 0.892 0.500 0.108
O: 0.108 0.892 0.500
O: 0.500 0.108 0.892
O: 0.346 0.946 0.247
O: 0.247 0.346 0.946
O: 0.946 0.247 0.346
O: 0.654 0.753 0.054
O: 0.054 0.654 0.753
O: 0.753 0.054 0.654
O: 0.668 0.500 0.332
O: 0.332 0.668 0.500

Its total energy is -5.32 eV/atom. As for the space group: R32. For the uncorrected formation energy, the calculation gives -1413 meV/atom.

***

# 7
KZn4SbO7: optimized geometry, PBE.

a = 6.231 Å, b = 6.231 Å, c = 10.113 Å
α = 90.00°, β = 90.00°, γ = 120.00°
Sites, in units of the cell vectors:
K: 0.333 0.667 0.822
K: 0.667 0.333 0.322
Zn: 0.000 0.000 0.252
Zn: 0.000 0.000 0.752
Zn: 0.347 0.173 0.007
Zn: 0.827 0.653 0.007
Zn: 0.827 0.173 0.007
Zn: 0.653 0.827 0.507
Zn: 0.173 0.347 0.507
Zn: 0.173 0.827 0.507
Sb: 0.333 0.667 0.195
Sb: 0.667 0.333 0.695
O: 0.000 0.000 0.057
O: 0.000 0.000 0.557
O: 0.178 0.357 0.311
O: 0.178 0.822 0.311
O: 0.643 0.822 0.311
O: 0.822 0.643 0.811
O: 0.822 0.178 0.811
O: 0.357 0.178 0.811
O: 0.488 0.976 0.080
O: 0.488 0.512 0.080
O: 0.024 0.512 0.080
O: 0.512 0.024 0.580
O: 0.512 0.488 0.580
O: 0.976 0.488 0.580

Its total energy is -4.96 eV/atom. As for the space group: P6_3mc. For the uncorrected formation energy, the calculation gives -1498 meV/atom.

***

# 8
KZnSbO4: optimized geometry, PBE.

a = 5.816 Å, b = 5.816 Å, c = 5.641 Å
α = 121.03°, β = 121.03°, γ = 90.00°
Sites, in units of the cell vectors:
K: 0.000 0.000 0.000
Zn: 0.250 0.750 0.500
Sb: 0.500 0.500 0.000
O: 0.219 0.130 0.726
O: 0.404 0.781 0.274
O: 0.507 0.596 0.726
O: 0.870 0.493 0.274

Its total energy is -5.22 eV/atom. As for the space group: I-4. For the uncorrected formation energy, the calculation gives -1458 meV/atom.

***

# 9
KZrSb2O8: optimized geometry, PBE.

a = 4.993 Å, b = 4.996 Å, c = 6.790 Å
α = 90.00°, β = 90.00°, γ = 86.52°
Site moments in Bohr magnetons follow the coordinates.
Sites, in units of the cell vectors:
K: 0.000 0.000 0.500  0.02
Zr: 0.000 0.000 0.000  -0.01
Sb: 0.500 0.500 0.768  -0.01
Sb: 0.500 0.500 0.232  -0.01
O: 0.219 0.782 0.213  -0.01
O: 0.692 0.691 0.000  0.00
O: 0.781 0.218 0.213  -0.01
O: 0.781 0.218 0.787  -0.01
O: 0.308 0.309 0.000  0.00
O: 0.219 0.782 0.787  -0.01
O: 0.650 0.649 0.500  0.44
O: 0.350 0.351 0.500  0.44

Its total energy is -6.44 eV/atom. As for the space group: Cmmm. For the uncorrected formation energy, the calculation gives -1648 meV/atom.

***

# 10
K2ZrSb3O12: optimized geometry, PBE.

a = 7.551 Å, b = 7.551 Å, c = 7.551 Å
α = 58.87°, β = 58.87°, γ = 58.87°
Site moments in Bohr magnetons follow the coordinates.
Sites, in units of the cell vectors:
K: 0.618 0.618 0.618  0.00
K: 0.382 0.382 0.382  0.00
Zr: 0.000 0.000 0.000  -0.04
Sb: 0.500 0.000 0.000  -0.02
Sb: 0.000 0.500 0.000  -0.02
Sb: 0.000 0.000 0.500  -0.02
O: 0.323 0.323 0.920  0.21
O: 0.928 0.928 0.334  0.24
O: 0.334 0.928 0.928  0.24
O: 0.920 0.323 0.323  0.21
O: 0.928 0.334 0.928  0.24
O: 0.323 0.920 0.323  0.21
O: 0.677 0.677 0.080  0.21
O: 0.072 0.072 0.666  0.24
O: 0.666 0.072 0.072  0.24
O: 0.080 0.677 0.677  0.21
O: 0.072 0.666 0.072  0.24
O: 0.677 0.080 0.677  0.21

Its total energy is -6.13 eV/atom. As for the space group: R-3m. For the uncorrected formation energy, the calculation gives -1545 meV/atom.

***

# 11
K5Sc2O6: optimized geometry, PBE.

a = 3.586 Å, b = 12.029 Å, c = 13.029 Å
α = 90.00°, β = 90.00°, γ = 90.00°
Site moments in Bohr magnetons follow the coordinates.
Sites, in units of the cell vectors:
K: 0.500 0.304 0.497  0.00
K: 0.500 0.696 0.503  0.00
K: 0.500 0.804 0.003  0.00
K: 0.500 0.196 0.997  0.00
K: 0.500 0.483 0.262  0.00
K: 0.500 0.517 0.738  0.00
K: 0.500 0.983 0.238  0.00
K: 0.500 0.017 0.762  0.00
K: 0.500 0.500 0.000  0.00
K: 0.500 0.000 0.500  0.00
Sc: 0.000 0.227 0.277  -0.02
Sc: 0.000 0.773 0.723  -0.02
Sc: 0.000 0.727 0.223  -0.02
Sc: 0.000 0.273 0.777  -0.02
O: 0.000 0.099 0.373  0.23
O: 0.000 0.901 0.627  0.23
O: 0.000 0.599 0.127  0.23
O: 0.000 0.401 0.873  0.23
O: 0.500 0.223 0.199  0.04
O: 0.500 0.777 0.801  0.04
O: 0.500 0.723 0.301  0.04
O: 0.500 0.277 0.699  0.04
O: 0.000 0.362 0.360  0.17
O: 0.000 0.638 0.640  0.17
O: 0.000 0.862 0.140  0.17
O: 0.000 0.138 0.860  0.17

Its total energy is -5.69 eV/atom. As for the space group: Pbam. For the uncorrected formation energy, the calculation gives -2001 meV/atom.

***

# 12
KSc2O: optimized geometry, PBE.

a = 9.503 Å, b = 9.503 Å, c = 9.503 Å
α = 20.05°, β = 20.05°, γ = 20.05°
Sites, in units of the cell vectors:
Sc: 0.876 0.876 0.876
Sc: 0.124 0.124 0.124
K: 0.000 0.000 0.000
O: 0.500 0.500 0.500

Its total energy is -5.77 eV/atom. As for the space group: R-3m. For the uncorrected formation energy, the calculation gives -1091 meV/atom.

***

Number 1: V 193.8 Å³/f.u.. Number 2: V 207.9 Å³/f.u.. Number 3: V 195.3 Å³/f.u.. Number 4: V 189.2 Å³/f.u.. Number 5: V 164.7 Å³/f.u.. Number 6: V 274.4 Å³/f.u.. Number 7: V 170.0 Å³/f.u.. Number 8: V 130.6 Å³/f.u.. Number 9: V 169.1 Å³/f.u.. Number 10: V 296.5 Å³/f.u.. Number 11: V 281.0 Å³/f.u.. Number 12: V 88.3 Å³/f.u..